(1)
Computed, not measured: a geometry-optimized Li2CuW structure at the PBE level of DFT.

Mass density = 7.6 g/cm³
SG = No. 12
N(E_F) = 3.13 states/eV per cell
Offset from the most stable computed form = 127.3 meV per atom
Formation enthalpy at 0 K = 0.39 eV/atom

```
data_Li2CuW
_cell_length_a 5.225
_cell_length_b 5.225
_cell_length_c 4.684
_cell_angle_alpha 109.29
_cell_angle_beta 109.29
_cell_angle_gamma 28.31
_space_group_name_H-M_alt 'P 1'
_space_group_IT_number 1
_space_group_name_Hall 'P 1'
loop_
_atom_site_label
_atom_site_type_symbol
_atom_site_fract_x
_atom_site_fract_y
_atom_site_fract_z
Li1 Li 0.232 0.232 0.238
Li2 Li 0.768 0.768 0.762
Cu1 Cu 0.500 0.500 0.000
W1 W 0.000 0.000 0.500
```


(2)
Computed, not measured: a geometry-optimized Ce2PrRu structure at the PBE level of DFT.

Mass density = 8.2 g/cm³
SG = No. 123
N(E_F) = 9.30 states/eV per cell
Offset from the most stable computed form = 117.8 meV per atom
Formation enthalpy at 0 K = -0.09 eV/atom

```
data_Ce2PrRu
_cell_length_a 3.582
_cell_length_b 3.582
_cell_length_c 8.270
_cell_angle_alpha 90.00
_cell_angle_beta 90.00
_cell_angle_gamma 90.00
_space_group_name_H-M_alt 'P 1'
_space_group_IT_number 1
_space_group_name_Hall 'P 1'
loop_
_atom_site_label
_atom_site_type_symbol
_atom_site_fract_x
_atom_site_fract_y
_atom_site_fract_z
Ce1 Ce 0.000 0.000 0.186
Ce2 Ce 0.000 0.000 0.814
Pr1 Pr 0.500 0.500 0.500
Ru1 Ru 0.500 0.500 0.000
```


(3)
Computed, not measured: a geometry-optimized Pa2Ag2Br2O5 structure at the PBE level of DFT.

Mass density = 6.6 g/cm³
SG = No. 139
Energy relative to the elements, uncorrected = -2.268 eV per atom

```
data_Pa2Ag2Br2O5
_cell_length_a 13.371
_cell_length_b 13.371
_cell_length_c 13.371
_cell_angle_alpha 161.83
_cell_angle_beta 161.83
_cell_angle_gamma 25.80
_space_group_name_H-M_alt 'P 1'
_space_group_IT_number 1
_space_group_name_Hall 'P 1'
loop_
_atom_site_label
_atom_site_type_symbol
_atom_site_fract_x
_atom_site_fract_y
_atom_site_fract_z
Pa1 Pa 0.081 0.081 0.000
Pa2 Pa 0.919 0.919 0.000
Ag1 Ag 0.319 0.319 0.000
Ag2 Ag 0.681 0.681 0.000
Br1 Br 0.201 0.201 0.000
Br2 Br 0.799 0.799 0.000
O1 O 0.000 0.000 0.000
O2 O 0.094 0.594 0.500
O3 O 0.406 0.906 0.500
O4 O 0.594 0.094 0.500
O5 O 0.906 0.406 0.500
```


(4)
Computed, not measured: a geometry-optimized Ac2TbPmSe6 structure at the PBE level of DFT.

Mass density = 6.2 g/cm³
SG = No. 146
N(E_F) = 0.00 states/eV per cell
Energy relative to the elements, uncorrected = -1.920 eV per atom

```
data_Ac2TbPmSe6
_cell_length_a 7.926
_cell_length_b 7.926
_cell_length_c 7.926
_cell_angle_alpha 57.56
_cell_angle_beta 57.56
_cell_angle_gamma 57.56
_space_group_name_H-M_alt 'P 1'
_space_group_IT_number 1
_space_group_name_Hall 'P 1'
loop_
_atom_site_label
_atom_site_type_symbol
_atom_site_fract_x
_atom_site_fract_y
_atom_site_fract_z
Ac1 Ac 0.000 0.000 0.000
Ac2 Ac 0.499 0.499 0.499
Tb1 Tb 0.708 0.708 0.708
Pm1 Pm 0.209 0.209 0.209
Se1 Se 0.073 0.427 0.835
Se2 Se 0.338 0.921 0.579
Se3 Se 0.427 0.835 0.073
Se4 Se 0.579 0.338 0.921
Se5 Se 0.835 0.073 0.427
Se6 Se 0.921 0.579 0.338
```


(5)
Computed, not measured: a geometry-optimized CaPu2Si6 structure at the PBE level of DFT.

Mass density = 6.8 g/cm³
SG = No. 191
N(E_F) = 19.66 states/eV per cell
Energy relative to the elements, uncorrected = -0.399 eV per atom

```
data_CaPu2Si6
_cell_length_a 7.034
_cell_length_b 7.034
_cell_length_c 3.983
_cell_angle_alpha 90.00
_cell_angle_beta 90.00
_cell_angle_gamma 120.00
_space_group_name_H-M_alt 'P 1'
_space_group_IT_number 1
_space_group_name_Hall 'P 1'
loop_
_atom_site_label
_atom_site_type_symbol
_atom_site_fract_x
_atom_site_fract_y
_atom_site_fract_z
Ca1 Ca 0.000 0.000 0.000
Pu1 Pu 0.333 0.667 0.000
Pu2 Pu 0.667 0.333 0.000
Si1 Si 0.000 0.335 0.500
Si2 Si 0.000 0.665 0.500
Si3 Si 0.335 0.000 0.500
Si4 Si 0.335 0.335 0.500
Si5 Si 0.665 0.000 0.500
Si6 Si 0.665 0.665 0.500
```


(6)
Computed, not measured: a geometry-optimized Cu2MoIr structure at the PBE level of DFT.

Mass density = 12.8 g/cm³
SG = No. 123
N(E_F) = 4.04 states/eV per cell
Offset from the most stable computed form = 313.1 meV per atom
Formation enthalpy at 0 K = 0.35 eV/atom

```
data_Cu2MoIr
_cell_length_a 4.299
_cell_length_b 4.299
_cell_length_c 2.926
_cell_angle_alpha 90.00
_cell_angle_beta 90.00
_cell_angle_gamma 90.00
_space_group_name_H-M_alt 'P 1'
_space_group_IT_number 1
_space_group_name_Hall 'P 1'
loop_
_atom_site_label
_atom_site_type_symbol
_atom_site_fract_x
_atom_site_fract_y
_atom_site_fract_z
Cu1 Cu 0.000 0.500 0.000
Cu2 Cu 0.500 0.000 0.000
Mo1 Mo 0.000 0.000 0.500
Ir1 Ir 0.500 0.500 0.500
```


(7)
Computed, not measured: a geometry-optimized LiPaBeO4 structure at the PBE level of DFT.

Mass density = 6.6 g/cm³
SG = No. 74
N(E_F) = 0.00 states/eV per cell
Energy relative to the elements, uncorrected = -2.787 eV per atom

```
data_LiPaBeO4
_cell_length_a 5.986
_cell_length_b 5.986
_cell_length_c 5.986
_cell_angle_alpha 123.65
_cell_angle_beta 106.53
_cell_angle_gamma 99.29
_space_group_name_H-M_alt 'P 1'
_space_group_IT_number 1
_space_group_name_Hall 'P 1'
loop_
_atom_site_label
_atom_site_type_symbol
_atom_site_fract_x
_atom_site_fract_y
_atom_site_fract_z
Li1 Li 0.500 0.000 0.000
Li2 Li 0.500 0.500 0.500
Pa1 Pa 0.000 0.000 0.000
Pa2 Pa 0.500 0.000 0.500
Be1 Be 0.133 0.383 0.750
Be2 Be 0.867 0.617 0.250
O1 O 0.192 0.736 0.456
O2 O 0.219 0.264 0.956
O3 O 0.260 0.260 0.500
O4 O 0.260 0.760 0.000
O5 O 0.740 0.240 0.000
O6 O 0.740 0.740 0.500
O7 O 0.781 0.736 0.044
O8 O 0.808 0.264 0.544
```


(8)
Computed, not measured: a geometry-optimized NaTa2F structure at the PBE level of DFT.

Mass density = 7.0 g/cm³
SG = No. 141
N(E_F) = 8.31 states/eV per cell
Offset from the most stable computed form = 0.0 meV per atom
Energy relative to the elements, uncorrected = 0.903 eV per atom

```
data_NaTa2F
_cell_length_a 7.052
_cell_length_b 7.052
_cell_length_c 7.052
_cell_angle_alpha 131.60
_cell_angle_beta 131.60
_cell_angle_gamma 70.86
_space_group_name_H-M_alt 'P 1'
_space_group_IT_number 1
_space_group_name_Hall 'P 1'
loop_
_atom_site_label
_atom_site_type_symbol
_atom_site_fract_x
_atom_site_fract_y
_atom_site_fract_z
Na1 Na 0.375 0.625 0.750
Na2 Na 0.625 0.375 0.250
Ta1 Ta 0.000 0.000 0.000
Ta2 Ta 0.000 0.000 0.500
Ta3 Ta 0.000 0.500 0.000
Ta4 Ta 0.500 0.000 0.500
F1 F 0.125 0.875 0.250
F2 F 0.875 0.125 0.750
```


(9)
Computed, not measured: a geometry-optimized CeNdTcCl structure at the PBE level of DFT.

Mass density = 7.0 g/cm³
SG = No. 1
N(E_F) = 2.38 states/eV per cell
Energy relative to the elements, uncorrected = -0.758 eV per atom

```
data_CeNdTcCl
_cell_length_a 3.538
_cell_length_b 3.592
_cell_length_c 8.352
_cell_angle_alpha 97.12
_cell_angle_beta 90.40
_cell_angle_gamma 108.64
_space_group_name_H-M_alt 'P 1'
_space_group_IT_number 1
_space_group_name_Hall 'P 1'
loop_
_atom_site_label
_atom_site_type_symbol
_atom_site_fract_x
_atom_site_fract_y
_atom_site_fract_z
Ce1 Ce 0.000 0.000 0.000
Nd1 Nd 0.929 0.881 0.571
Tc1 Tc 0.476 0.446 0.822
Cl1 Cl 0.555 0.146 0.307
```


(10)
Computed, not measured: a geometry-optimized Pm3ScTl structure at the PBE level of DFT.

Mass density = 7.7 g/cm³
SG = No. 63
N(E_F) = 12.11 states/eV per cell
Offset from the most stable computed form = 0.0 meV per atom
Formation enthalpy at 0 K = -0.11 eV/atom

```
data_Pm3ScTl
_cell_length_a 12.824
_cell_length_b 12.824
_cell_length_c 4.839
_cell_angle_alpha 90.00
_cell_angle_beta 90.00
_cell_angle_gamma 158.22
_space_group_name_H-M_alt 'P 1'
_space_group_IT_number 1
_space_group_name_Hall 'P 1'
loop_
_atom_site_label
_atom_site_type_symbol
_atom_site_fract_x
_atom_site_fract_y
_atom_site_fract_z
Pm1 Pm 0.055 0.945 0.750
Pm2 Pm 0.251 0.749 0.750
Pm3 Pm 0.444 0.556 0.750
Pm4 Pm 0.556 0.444 0.250
Pm5 Pm 0.749 0.251 0.250
Pm6 Pm 0.945 0.055 0.250
Sc1 Sc 0.348 0.652 0.250
Sc2 Sc 0.652 0.348 0.750
Tl1 Tl 0.153 0.847 0.250
Tl2 Tl 0.847 0.153 0.750
```


(11)
Computed, not measured: a geometry-optimized Si2SnSb structure at the PBE level of DFT.

Mass density = 4.2 g/cm³
SG = No. 122
N(E_F) = 6.56 states/eV per cell
Offset from the most stable computed form = 0.0 meV per atom
Energy relative to the elements, uncorrected = 0.349 eV per atom

```
data_Si2SnSb
_cell_length_a 7.495
_cell_length_b 7.495
_cell_length_c 7.495
_cell_angle_alpha 131.32
_cell_angle_beta 131.32
_cell_angle_gamma 71.31
_space_group_name_H-M_alt 'P 1'
_space_group_IT_number 1
_space_group_name_Hall 'P 1'
loop_
_atom_site_label
_atom_site_type_symbol
_atom_site_fract_x
_atom_site_fract_y
_atom_site_fract_z
Si1 Si 0.119 0.625 0.994
Si2 Si 0.375 0.369 0.494
Si3 Si 0.631 0.125 0.006
Si4 Si 0.875 0.881 0.506
Sn1 Sn 0.000 0.000 0.000
Sn2 Sn 0.750 0.250 0.500
Sb1 Sb 0.250 0.750 0.500
Sb2 Sb 0.500 0.500 0.000
```


(12)
Computed, not measured: a geometry-optimized AcMnGa2Pt5 structure at the PBE level of DFT.

Mass density = 12.4 g/cm³
SG = No. 123
N(E_F) = 3.37 states/eV per cell
Formation enthalpy at 0 K = -0.56 eV/atom

```
data_AcMnGa2Pt5
_cell_length_a 4.122
_cell_length_b 4.122
_cell_length_c 10.999
_cell_angle_alpha 90.00
_cell_angle_beta 90.00
_cell_angle_gamma 90.00
_space_group_name_H-M_alt 'P 1'
_space_group_IT_number 1
_space_group_name_Hall 'P 1'
loop_
_atom_site_label
_atom_site_type_symbol
_atom_site_fract_x
_atom_site_fract_y
_atom_site_fract_z
Ac1 Ac 0.000 0.000 0.000
Mn1 Mn 0.000 0.000 0.500
Ga1 Ga 0.500 0.500 0.225
Ga2 Ga 0.500 0.500 0.775
Pt1 Pt 0.000 0.500 0.355
Pt2 Pt 0.000 0.500 0.645
Pt3 Pt 0.500 0.000 0.355
Pt4 Pt 0.500 0.000 0.645
Pt5 Pt 0.500 0.500 0.000
```